This record from the Alexandria database describes Hf3TcMo after structural relaxation. The functional is GGA-PBEsol.

The structure belongs to space group Pm-3m (No. 221); the cell edges are 4.825, 4.825 and 4.825 Å and the angles 90.00°, 90.00° and 90.00°. The asymmetric unit holds Hf at (0.000, 0.000, 0.500), Tc at (0.000, 0.000, 0.000) and Mo at (0.500, 0.500, 0.500).

As for the density of states at the Fermi level: 5.72 states/eV/f.u. The distance to the lowest polymorph of the same formula comes out at 0.000 eV/atom. Its formation energy from the elements is 1.0020 eV per atom. For the total energy, the calculation gives -9.91 eV per atom. The theoretical density is 10783 kg/m3. As for the crystal system: cubic.